# 1
FeCo3Mo | PBE-GGA | optimized geometry

Calculated volume   16.3 Å³ per atom
ΔE_f   1.89 eV per atom
Mass density   6.677 g/cm³
Space group   No. 221

abc: 4.339 4.339 4.339
angles: 90.00 90.00 90.00
Fractional positions:
Fe 0.000 0.000 0.000
Co 0.000 0.500 0.500
Co 0.500 0.000 0.500
Co 0.500 0.500 0.000
Mo 0.500 0.500 0.500

# 2
FeCo4Mo | PBE-GGA | optimized geometry

Calculated volume   11.7 Å³ per atom
ΔE_f   0.07 eV per atom
Mass density   9.146 g/cm³
Space group   No. 216

abc: 4.634 4.634 4.634
angles: 60.00 60.00 60.00
Fractional positions:
Fe 0.000 0.000 0.000
Co 0.375 0.375 0.375
Co 0.375 0.375 0.876
Co 0.375 0.876 0.375
Co 0.876 0.375 0.375
Mo 0.750 0.750 0.750